{"formula": "Fe3Ir3Rh5", "functional": "PBE", "state": "relaxed", "lattice_angstrom": [[8.309, 0.000, 0.000], [-4.154, 7.196, 0.000], [0.000, 0.000, 2.655]], "species": ["Fe", "Fe", "Fe", "Ir", "Ir", "Ir", "Rh", "Rh", "Rh", "Rh", "Rh"], "fractional_positions": [[0.000, 0.846, 0.000], [0.154, 0.154, 0.000], [0.846, 0.000, 0.000], [0.000, 0.599, 0.500], [0.401, 0.401, 0.500], [0.599, 0.000, 0.500], [0.000, 0.331, 0.000], [0.331, 0.000, 0.000], [0.333, 0.667, 0.000], [0.667, 0.333, 0.000], [0.669, 0.669, 0.000]], "ef_ev_per_atom": 0.455, "vol_a3_per_cell": 158.7, "space_group": "No. 189", "total_energy_ev_per_atom": -7.612, "magmom_total_mub_per_fu": 3.3}